(1)
{
  "formula": "Nd2Cd",
  "functional": "GGA-PBE",
  "state": "relaxed",
  "formation_enthalpy_0k_ev_per_atom": -0.205,
  "de_polymorph_ev_per_atom": 0.000,
  "sg": "P4/mmm",
  "lattice": [[-1.418, -2.929, -1.930], [-0.597, -1.850, 3.246], [-11.854, 5.216, 0.793]],
  "species": ["Nd", "Nd", "Nd", "Nd", "Cd", "Cd"],
  "fractional_positions": [[0.500, 0.500, 0.000], [0.500, 0.500, 0.305], [0.000, 0.000, 0.500], [0.500, 0.500, 0.695], [0.000, 0.000, 0.847], [0.000, 0.000, 0.153]]
}



(2)
{
  "formula": "Pr3NdCu2",
  "functional": "GGA-PBE",
  "state": "relaxed",
  "formation_enthalpy_0k_ev_per_atom": 0.080,
  "de_polymorph_ev_per_atom": 0.168,
  "sg": "Ibam",
  "lattice": [[7.028, 0.000, 0.000], [0.000, 7.463, 0.000], [-3.514, -3.731, 6.983]],
  "species": ["Pr", "Pr", "Pr", "Pr", "Pr", "Pr", "Nd", "Nd", "Cu", "Cu", "Cu", "Cu"],
  "fractional_positions": [[0.500, 0.250, 0.000], [0.500, 0.750, 0.000], [0.766, 0.016, 0.532], [0.234, 0.484, 0.468], [0.234, 0.984, 0.468], [0.766, 0.516, 0.532], [0.000, 0.500, 0.000], [0.000, 0.000, 0.000], [0.563, 0.360, 0.720], [0.844, 0.140, 0.280], [0.156, 0.860, 0.720], [0.437, 0.640, 0.280]]
}



(3)
{
  "formula": "NiBr3",
  "functional": "GGA-PBE",
  "state": "relaxed",
  "e_form_raw_ev_per_atom": 0.22,
  "sg": "Cmcm",
  "lattice": [[4.237, -7.615, 0.000], [4.237, 7.615, 0.000], [0.000, 0.000, 3.996]],
  "species": ["Ni", "Ni", "Br", "Br", "Br", "Br", "Br", "Br"],
  "fractional_positions": [[0.456, 0.544, 0.750], [0.544, 0.456, 0.250], [0.878, 0.122, 0.250], [0.122, 0.878, 0.750], [0.841, 0.613, 0.250], [0.159, 0.387, 0.750], [0.387, 0.159, 0.250], [0.613, 0.841, 0.750]]
}



(4)
{
  "formula": "TaAs2SeO",
  "functional": "GGA-PBE",
  "state": "relaxed",
  "de_polymorph_ev_per_atom": 0.489,
  "e_form_raw_ev_per_atom": 0.67,
  "sg": "P4/mmm",
  "lattice": [[4.987, 0.000, 0.000], [0.000, 4.987, 0.000], [0.000, 0.000, 4.857]],
  "species": ["As", "As", "O", "Se", "Ta"],
  "fractional_positions": [[0.000, 0.500, 0.000], [0.500, 0.000, 0.000], [0.500, 0.500, 0.500], [0.000, 0.000, 0.500], [0.000, 0.000, 0.000]]
}



(5)
{
  "formula": "NaNdDyIn",
  "functional": "GGA-PBE",
  "state": "relaxed",
  "formation_enthalpy_0k_ev_per_atom": -0.139,
  "sg": "F-43m",
  "lattice": [[5.474, 0.000, 0.000], [2.737, 4.741, 0.000], [2.737, 1.580, 4.470]],
  "species": ["Na", "In", "Nd", "Dy"],
  "fractional_positions": [[0.000, 0.000, 0.000], [0.500, 0.500, 0.500], [0.750, 0.750, 0.750], [0.250, 0.250, 0.250]]
}



(6)
{
  "formula": "Cu14SiNi",
  "functional": "GGA-PBE",
  "state": "relaxed",
  "e_form_raw_ev_per_atom": -0.04,
  "sg": "Amm2",
  "lattice": [[5.127, -0.357, 0.000], [-2.338, 4.577, 0.000], [0.000, 0.000, 8.362]],
  "species": ["Cu", "Cu", "Cu", "Cu", "Cu", "Cu", "Cu", "Cu", "Cu", "Cu", "Cu", "Cu", "Cu", "Cu", "Si", "Ni"],
  "fractional_positions": [[0.212, 0.788, 0.000], [0.710, 0.290, 0.000], [0.039, 0.461, 0.500], [0.213, 0.290, 0.000], [0.539, 0.961, 0.500], [0.710, 0.787, 0.000], [0.374, 0.125, 0.748], [0.374, 0.125, 0.252], [0.875, 0.626, 0.748], [0.875, 0.626, 0.252], [0.376, 0.624, 0.748], [0.376, 0.624, 0.252], [0.875, 0.125, 0.753], [0.875, 0.125, 0.247], [0.539, 0.461, 0.500], [0.037, 0.963, 0.500]]
}



(7)
{
  "formula": "Tb4DySe5",
  "functional": "GGA-PBE",
  "state": "relaxed",
  "de_polymorph_ev_per_atom": 0.000,
  "e_form_raw_ev_per_atom": -1.77,
  "sg": "I4/m",
  "lattice": [[5.223, 0.000, 2.519], [2.611, 6.461, 1.260], [-0.195, 0.000, 7.079]],
  "species": ["Tb", "Tb", "Tb", "Tb", "Dy", "Se", "Se", "Se", "Se", "Se"],
  "fractional_positions": [[0.402, 0.400, 0.798], [0.802, 0.798, 0.600], [0.200, 0.202, 0.400], [0.600, 0.600, 0.202], [0.001, 0.000, 0.000], [0.901, 0.399, 0.802], [0.299, 0.802, 0.601], [0.703, 0.198, 0.399], [0.101, 0.601, 0.198], [0.501, 0.000, 0.000]]
}



(8)
{
  "formula": "MgOs2Pt",
  "functional": "GGA-PBE",
  "state": "relaxed",
  "formation_enthalpy_0k_ev_per_atom": 0.426,
  "sg": "Cmmm",
  "lattice": [[-2.212, -1.313, 0.907], [1.299, -1.042, -2.161], [5.365, -5.109, 5.688]],
  "species": ["Mg", "Os", "Os", "Pt"],
  "fractional_positions": [[0.500, 0.500, 0.750], [0.000, 0.000, 0.997], [0.000, 0.000, 0.503], [0.500, 0.500, 0.250]]
}



Calculated N(E_F) (states/eV per atom), listed in the same order as above: 1.10, 1.64, 1.25, 1.91, 1.21, 0.24, 0.47, 1.22
Calculated calculated density (g cm⁻³), listed in the same order as above: 7.17, 6.29, 3.84, 5.85, 6.36, 8.57, 8.19, 16.19